Here is a relaxed CdFeSnF6 crystal from the Alexandria database. Energies are from PBE with a Hubbard U.

Results
Energy (Ry per atom): -0.33693

Unit cell a=5.7489 b=5.7489 c=10.0255 alpha=90.00 beta=90.00 gamma=120.00
Last column: magnetic moment on the atom in μB.
Fractional positions:
Cd 0.3333 0.6667 0.2500  0.00
Cd 0.6667 0.3333 0.7500  0.00
Fe 0.6667 0.3333 0.2500  3.82
Fe 0.3333 0.6667 0.7500  3.82
Sn 0.0000 0.0000 0.0000  0.01
Sn 0.0000 0.0000 0.5000  0.01
F 0.6612 0.6391 0.1365  0.02
F 0.9780 0.3388 0.1365  0.02
F 0.3388 0.9780 0.6365  0.02
F 0.0220 0.6612 0.8635  0.02
F 0.3609 0.3388 0.3635  0.02
F 0.9780 0.6391 0.3635  0.02
F 0.6391 0.9780 0.8635  0.02
F 0.6612 0.0220 0.3635  0.02
F 0.0220 0.3609 0.6365  0.02
F 0.3609 0.0220 0.1365  0.02
F 0.6391 0.6612 0.6365  0.02
F 0.3388 0.3609 0.8635  0.02